i.
Density functional theory data (PBE) for a relaxed structure of HoTm2Ir.

Lattice parameters (Å, degrees): 7.185 9.075 6.346 90.00 90.00 90.00
Space group Pnma (No. 62)
One atom of each set of equivalent atoms:
Ho 0.033 0.250 0.126
Tm 0.177 0.062 0.674
Ir 0.116 0.750 0.456

Results
* calculated density: 11.16 g/cm3
* total moment: 0.000 μB/atom
* calculated volume: 25.9 Å³/atom



ii.
Density functional theory data (PBE) for a relaxed structure of HoTm2Ir.

Lattice parameters (Å, degrees): 3.873 11.930 8.954 90.00 90.00 90.00
Space group Cmcm (No. 63)
One atom of each set of equivalent atoms:
Ho 0.000 0.072 0.250
Tm 0.000 0.358 0.066
Ir 0.000 0.254 0.750

Results
* calculated density: 11.16 g/cm3
* total moment: 0.000 μB/atom
* calculated volume: 25.9 Å³/atom



iii.
Density functional theory data (PBE) for a relaxed structure of HoTm2Ir.

Lattice parameters (Å, degrees): 3.428 3.428 8.710 90.00 90.00 90.00
Space group P4/mmm (No. 123)
One atom of each set of equivalent atoms:
Ho 0.000 0.000 0.000
Tm 0.500 0.500 0.314
Ir 0.000 0.000 0.500

Results
* calculated density: 11.27 g/cm3
* total moment: 0.000 μB/atom
* calculated volume: 25.6 Å³/atom



iv.
Density functional theory data (PBE) for a relaxed structure of HoTm2Ir.

Lattice parameters (Å, degrees): 3.6818 3.6818 31.1897 90.00 90.00 120.00
Space group R-3m (No. 166, hexagonal axes)
One atom of each set of equivalent atoms:
Ho 0.0000 0.0000 0.0000
Tm 0.0000 0.0000 0.1128
Ir 0.0000 0.0000 0.5000

Results
* calculated density: 9.46 g/cm3
* total moment: 0.023 μB/atom
* calculated volume: 30.5 Å³/atom



Most stable structure: i



i.
Density functional theory data (PBE) for a relaxed structure of YHo3Ir.

Lattice parameters (Å, degrees): 5.405 5.405 5.405 90.00 90.00 90.00
Space group Pm-3m (No. 221)
One atom of each set of equivalent atoms:
Y 0.000 0.000 0.000
Ho 0.000 0.500 0.500
Ir 0.500 0.500 0.500

Results
* calculated density: 8.16 g/cm3
* total moment: 0.000 μB/atom
* calculated volume: 31.6 Å³/atom



ii.
Density functional theory data (PBE) for a relaxed structure of YHo3Ir.

Lattice parameters (Å, degrees): 7.577 6.519 6.157 90.00 90.00 90.00
Space group Pmn2_1 (No. 31)
One atom of each set of equivalent atoms:
Y 0.000 0.151 0.000
Ho 0.000 0.847 0.493
Ho 0.250 0.314 0.497
Ir 0.000 0.502 0.745

Results
* calculated density: 8.47 g/cm3
* total moment: 0.000 μB/atom
* calculated volume: 30.4 Å³/atom



Most stable structure: ii



i.
Density functional theory data (PBE) for a relaxed structure of YHo2Ir2.

Lattice parameters (Å, degrees): 4.7756 4.7756 5.9726 90.00 90.00 120.00
Space group P-3m1 (No. 164)
One atom of each set of equivalent atoms:
Y 0.0000 0.0000 0.0000
Ho 0.3333 0.6667 0.6637
Ir 0.3333 0.6667 0.1722

Results
* calculated density: 11.31 g/cm3
* total moment: 0.000 μB/atom
* calculated volume: 23.6 Å³/atom



ii.
Density functional theory data (PBE) for a relaxed structure of YHo2Ir2.

Lattice parameters (Å, degrees): 5.492 4.373 10.390 90.00 96.62 90.00
Space group P2_1/m (No. 11)
One atom of each set of equivalent atoms:
Y 0.101 0.250 0.291
Ho 0.249 0.250 0.969
Ho 0.392 0.250 0.618
Ir 0.157 0.750 0.476
Ir 0.267 0.750 0.141

Results
* calculated density: 10.76 g/cm3
* total moment: 0.000 μB/atom
* calculated volume: 24.8 Å³/atom



Most stable structure: i



i.
Density functional theory data (PBE) for a relaxed structure of Ho2ZnIr.

Lattice parameters (Å, degrees): 5.667 4.385 7.597 90.00 110.89 90.00
Space group P2_1/m (No. 11)
One atom of each set of equivalent atoms:
Ho 0.209 0.250 0.437
Ho 0.231 0.250 0.921
Zn 0.341 0.750 0.214
Ir 0.352 0.750 0.715

Results
* calculated density: 11.06 g/cm3
* total moment: 0.000 μB/atom
* calculated volume: 22.0 Å³/atom



ii.
Density functional theory data (PBE) for a relaxed structure of Ho2ZnIr.

Lattice parameters (Å, degrees): 4.0160 4.0160 27.6597 90.00 90.00 120.00
Space group R-3m (No. 166, hexagonal axes)
One atom of each set of equivalent atoms:
Ho 0.0000 0.0000 0.1146
Zn 0.0000 0.0000 0.0000
Ir 0.0000 0.0000 0.5000

Results
* calculated density: 7.58 g/cm3
* total moment: 0.000 μB/atom
* calculated volume: 32.2 Å³/atom



iii.
Density functional theory data (PBE) for a relaxed structure of Ho2ZnIr.

Lattice parameters (Å, degrees): 3.491 3.491 7.009 90.00 90.00 90.00
Space group P4/mmm (No. 123)
One atom of each set of equivalent atoms:
Ho 0.000 0.000 0.231
Zn 0.500 0.500 0.500
Ir 0.500 0.500 0.000

Results
* calculated density: 11.42 g/cm3
* total moment: 0.000 μB/atom
* calculated volume: 21.4 Å³/atom



Most stable structure: i



i.
Density functional theory data (PBE) for a relaxed structure of Ho4ZnIr.

Lattice parameters (Å, degrees): 13.365 13.365 13.365 90.00 90.00 90.00
Space group F-43m (No. 216)
One atom of each set of equivalent atoms:
Ho 0.000 0.000 0.187
Ho 0.058 0.250 0.750
Ho 0.104 0.104 0.396
Zn 0.171 0.171 0.171
Ir 0.107 0.107 0.607

Results
* calculated density: 10.21 g/cm3
* total moment: 0.000 μB/atom
* calculated volume: 24.9 Å³/atom



ii.
Density functional theory data (PBE) for a relaxed structure of Ho4ZnIr.

Lattice parameters (Å, degrees): 6.861 6.861 6.882 90.00 90.06 90.00
Space group C2/m (No. 12)
One atom of each set of equivalent atoms:
Ho 0.250 0.250 0.239
Zn 0.000 0.000 0.500
Ir 0.000 0.500 0.000

Results
* calculated density: 9.40 g/cm3
* total moment: 0.000 μB/atom
* calculated volume: 27.0 Å³/atom



Most stable structure: i



i.
Density functional theory data (PBE) for a relaxed structure of Ho8Zn2Ir.

Lattice parameters (Å, degrees): 17.443 5.083 6.705 90.00 105.82 90.00
Space group C2/m (No. 12)
One atom of each set of equivalent atoms:
Ho 0.027 0.000 0.286
Ho 0.090 0.500 0.935
Ho 0.159 0.500 0.466
Ho 0.202 0.000 0.817
Zn 0.187 0.000 0.227
Ir 0.000 0.500 0.500

Results
* calculated density: 9.54 g/cm3
* total moment: 0.000 μB/atom
* calculated volume: 26.0 Å³/atom



ii.
Density functional theory data (PBE) for a relaxed structure of Ho8Zn2Ir.

Lattice parameters (Å, degrees): 7.521 15.722 6.085 90.00 123.12 90.00
Space group Cm (No. 8)
One atom of each set of equivalent atoms:
Ho 0.000 0.000 0.000
Ho 0.043 0.385 0.827
Ho 0.058 0.500 0.360
Ho 0.272 0.194 0.137
Ho 0.499 0.381 0.477
Zn 0.271 0.280 0.650
Ir 0.269 0.000 0.843

Results
* calculated density: 9.05 g/cm3
* total moment: 0.000 μB/atom
* calculated volume: 27.4 Å³/atom



Most stable structure: i



i.
Density functional theory data (PBE) for a relaxed structure of La4Ho.

Lattice parameters (Å, degrees): 3.712 3.712 25.843 90.00 90.00 90.00
Space group I4/mmm (No. 139)
One atom of each set of equivalent atoms:
La 0.000 0.000 0.097
La 0.000 0.000 0.302
Ho 0.000 0.000 0.500

Results
* calculated density: 6.72 g/cm3
* total moment: 0.002 μB/atom
* calculated volume: 35.6 Å³/atom



ii.
Density functional theory data (PBE) for a relaxed structure of La4Ho.

Lattice parameters (Å, degrees): 5.942 5.942 5.942 90.00 90.00 90.00
Space group Pm-3m (No. 221)
One atom of each set of equivalent atoms:
La 0.000 0.000 0.000
La 0.000 0.500 0.500
Ho 0.500 0.500 0.500

Results
* calculated density: 5.70 g/cm3
* total moment: 0.084 μB/atom
* calculated volume: 42.0 Å³/atom



Most stable structure: i



i.
Density functional theory data (PBE) for a relaxed structure of LaHo5.

Lattice parameters (Å, degrees): 5.036 15.151 5.044 90.00 90.00 90.00
Space group Cmmm (No. 65)
One atom of each set of equivalent atoms:
La 0.000 0.000 0.000
Ho 0.000 0.168 0.500
Ho 0.000 0.330 0.000
Ho 0.000 0.500 0.500

Results
* calculated density: 8.31 g/cm3
* total moment: 0.000 μB/atom
* calculated volume: 32.1 Å³/atom



ii.
Density functional theory data (PBE) for a relaxed structure of LaHo5.

Lattice parameters (Å, degrees): 5.6547 5.6547 6.9124 90.00 90.00 120.00
Space group P6/mmm (No. 191)
One atom of each set of equivalent atoms:
La 0.0000 0.0000 0.0000
Ho 0.0000 0.0000 0.5000
Ho 0.3333 0.6667 0.2556

Results
* calculated density: 8.36 g/cm3
* total moment: 0.000 μB/atom
* calculated volume: 31.9 Å³/atom



Most stable structure: i



i.
Density functional theory data (PBE) for a relaxed structure of LaHo4.

Lattice parameters (Å, degrees): 3.580 5.033 17.898 90.00 90.00 90.00
Space group Immm (No. 71)
One atom of each set of equivalent atoms:
La 0.000 0.000 0.000
Ho 0.000 0.000 0.201
Ho 0.000 0.000 0.396

Results
* calculated density: 8.23 g/cm3
* total moment: 0.000 μB/atom
* calculated volume: 32.2 Å³/atom



ii.
Density functional theory data (PBE) for a relaxed structure of LaHo4.

Lattice parameters (Å, degrees): 5.610 5.610 5.610 90.00 90.00 90.00
Space group Pm-3m (No. 221)
One atom of each set of equivalent atoms:
La 0.000 0.000 0.000
Ho 0.000 0.000 0.500
Ho 0.500 0.500 0.500

Results
* calculated density: 7.51 g/cm3
* total moment: 0.000 μB/atom
* calculated volume: 35.3 Å³/atom



Most stable structure: i



i.
Density functional theory data (PBE) for a relaxed structure of LaHo2.

Lattice parameters (Å, degrees): 3.613 3.613 15.206 90.00 90.00 90.00
Space group I4/mmm (No. 139)
One atom of each set of equivalent atoms:
La 0.000 0.000 0.000
Ho 0.000 0.000 0.330

Results
* calculated density: 7.84 g/cm3
* total moment: 0.000 μB/atom
* calculated volume: 33.1 Å³/atom



ii.
Density functional theory data (PBE) for a relaxed structure of LaHo2.

Lattice parameters (Å, degrees): 3.644 5.780 9.619 90.00 100.90 90.00
Space group P2_1/m (No. 11)
One atom of each set of equivalent atoms:
La 0.225 0.250 0.448
Ho 0.106 0.750 0.213
Ho 0.447 0.750 0.894

Results
* calculated density: 7.82 g/cm3
* total moment: 0.000 μB/atom
* calculated volume: 33.2 Å³/atom



Most stable structure: ii



i.
Density functional theory data (PBE) for a relaxed structure of La3Ho8.

Lattice parameters (Å, degrees): 11.327 5.075 12.994 90.00 105.38 90.00
Space group C2/m (No. 12)
One atom of each set of equivalent atoms:
La 0.000 0.000 0.000
La 0.092 0.000 0.638
Ho 0.046 0.500 0.819
Ho 0.137 0.500 0.455
Ho 0.181 0.000 0.273
Ho 0.227 0.500 0.091

Results
* calculated density: 8.01 g/cm3
* total moment: 0.000 μB/atom
* calculated volume: 32.7 Å³/atom



ii.
Density functional theory data (PBE) for a relaxed structure of La3Ho8.

Lattice parameters (Å, degrees): 9.8900 9.8900 12.7183 90.00 90.00 120.00
Space group R-3 (No. 148, hexagonal axes)
One atom of each set of equivalent atoms:
La 0.0000 0.5000 0.0000
Ho 0.0000 0.0000 0.3728
Ho 0.0218 0.2138 0.1112

Results
* calculated density: 8.03 g/cm3
* total moment: 0.000 μB/atom
* calculated volume: 32.6 Å³/atom



Most stable structure: i